(1)
SrSmN (PBE, optimized geometry); formation energy from raw total energies = -407.2 meV per atom
1.0
-1.577 0.630 3.196
2.684 -2.415 -0.249
8.986 9.726 2.516
N Sr Sm
2 2 2
Cartesian
5.757 3.463 2.158 N
0.000 0.000 0.000 N
3.509 3.797 0.983 Sr
5.478 5.929 1.534 Sr
2.261 -0.320 1.179 Sm
9.252 7.246 3.137 Sm

(2)
Li2Cd5PdPt2 (PBE, optimized geometry); formation energy = -0.30 eV per atom
1.0
4.090 0.000 0.000
0.000 9.836 0.000
0.000 0.000 9.836
Pt Li Cd Pd
4 4 10 2
Cartesian
0.000 1.272 6.191 Pt
0.000 8.564 3.646 Pt
0.000 6.191 8.564 Pt
0.000 3.646 1.272 Pt
0.000 6.564 1.646 Li
0.000 3.272 8.191 Li
0.000 8.191 6.564 Li
0.000 1.646 3.272 Li
2.045 0.777 7.953 Cd
2.045 5.696 6.802 Cd
2.045 0.000 4.918 Cd
2.045 7.953 9.059 Cd
2.045 1.884 0.777 Cd
2.045 4.918 0.000 Cd
2.045 3.034 5.696 Cd
2.045 6.802 4.141 Cd
2.045 9.059 1.884 Cd
2.045 4.141 3.034 Cd
0.000 4.918 4.918 Pd
0.000 0.000 0.000 Pd

(3)
LiFeCl4 (PBE, optimized geometry); formation energy from raw total energies = -1123.1 meV per atom
1.0
8.357 0.000 0.000
0.000 6.623 -0.182
0.000 0.454 13.033
Cl Li Fe
16 4 4
Cartesian
0.473 5.580 1.788 Cl
2.039 4.979 11.761 Cl
0.052 5.761 8.002 Cl
6.429 4.399 4.653 Cl
7.884 1.497 11.063 Cl
6.318 2.098 1.091 Cl
2.139 4.752 5.244 Cl
4.651 1.270 4.546 Cl
6.106 4.626 11.170 Cl
4.126 5.534 1.486 Cl
3.705 5.808 8.305 Cl
8.305 1.316 4.849 Cl
2.251 2.451 1.681 Cl
4.230 1.543 11.366 Cl
1.928 2.678 8.198 Cl
6.217 2.325 7.607 Cl
0.135 5.548 4.198 Li
4.313 1.302 2.137 Li
8.222 1.529 8.653 Li
4.043 5.776 10.715 Li
6.131 2.539 11.912 Fe
6.404 2.312 5.395 Fe
1.952 4.765 7.456 Fe
2.226 4.538 0.940 Fe

(4)
Ca3TaCu (PBE, optimized geometry); formation energy = 1.28 eV per atom
1.0
-2.901 -3.916 -2.664
4.624 -1.666 -2.587
1.025 -3.569 4.130
Ca Cu Ta
3 1 1
Cartesian
2.312 -0.833 -1.293 Ca
-1.450 -1.958 -1.332 Ca
0.513 -1.784 2.065 Ca
1.374 -4.575 -0.560 Cu
0.000 0.000 0.000 Ta